(1)
# HfMgN2, relaxed, DFT PBE
# raw formation energy: -1382 meV per atom
data_HfMgN2
_chemical_formula_sum 'Hf2 Mg2 N4'
_space_group_name_H-M_alt 'P 1'
_space_group_IT_number 1
_space_group_name_Hall 'P 1'
_cell_length_a 3.187
_cell_length_b 3.187
_cell_length_c 10.510
_cell_angle_alpha 90.00
_cell_angle_beta 90.00
_cell_angle_gamma 120.00
loop_
_atom_site_label
_atom_site_type_symbol
_atom_site_fract_x
_atom_site_fract_y
_atom_site_fract_z
_atom_site_occupancy
Hf1 Hf 0.000 0.000 0.000 1
Hf2 Hf 0.000 0.000 0.500 1
Mg1 Mg 0.333 0.667 0.250 1
Mg2 Mg 0.667 0.333 0.750 1
N1 N 0.333 0.667 0.615 1
N2 N 0.333 0.667 0.885 1
N3 N 0.667 0.333 0.115 1
N4 N 0.667 0.333 0.385 1

***

(2)
# MnCoH2, relaxed, DFT PBE
# N(E_F): 0.4806 states/eV/atom
data_MnCoH2
_chemical_formula_sum 'Mn1 Co1 H2'
_space_group_name_H-M_alt 'P 1'
_space_group_IT_number 1
_space_group_name_Hall 'P 1'
_cell_length_a 3.457
_cell_length_b 3.457
_cell_length_c 3.457
_cell_angle_alpha 60.00
_cell_angle_beta 60.00
_cell_angle_gamma 60.00
loop_
_atom_site_label
_atom_site_type_symbol
_atom_site_fract_x
_atom_site_fract_y
_atom_site_fract_z
_atom_site_occupancy
Mn1 Mn 0.000 0.000 0.000 1
Co1 Co 0.500 0.500 0.500 1
H1 H 0.250 0.250 0.250 1
H2 H 0.750 0.750 0.750 1

***

(3)
# SmH3Ir, relaxed, DFT PBE
# N(E_F): 0.0062 states/eV/atom
data_SmH3Ir
_chemical_formula_sum 'Sm2 H6 Ir2'
_space_group_name_H-M_alt 'P 1'
_space_group_IT_number 1
_space_group_name_Hall 'P 1'
_cell_length_a 6.122
_cell_length_b 6.122
_cell_length_c 4.768
_cell_angle_alpha 91.68
_cell_angle_beta 91.68
_cell_angle_gamma 37.49
loop_
_atom_site_label
_atom_site_type_symbol
_atom_site_fract_x
_atom_site_fract_y
_atom_site_fract_z
_atom_site_occupancy
Sm1 Sm 0.000 0.000 0.000 1
Sm2 Sm 0.738 0.738 0.507 1
H1 H 0.178 0.178 0.255 1
H2 H 0.181 0.181 0.757 1
H3 H 0.433 0.433 0.157 1
H4 H 0.556 0.556 0.750 1
H5 H 0.784 0.784 0.009 1
H6 H 0.950 0.950 0.506 1
Ir1 Ir 0.282 0.282 0.012 1
Ir2 Ir 0.445 0.445 0.514 1

***

(4)
# Li5Ir, relaxed, DFT PBE
# N(E_F): 0.3904 states/eV/atom
# energy of formation: -50 meV per atom
data_Li5Ir
_chemical_formula_sum 'Li5 Ir1'
_space_group_name_H-M_alt 'P 1'
_space_group_IT_number 1
_space_group_name_Hall 'P 1'
_cell_length_a 5.448
_cell_length_b 5.448
_cell_length_c 6.969
_cell_angle_alpha 104.69
_cell_angle_beta 104.69
_cell_angle_gamma 27.55
loop_
_atom_site_label
_atom_site_type_symbol
_atom_site_fract_x
_atom_site_fract_y
_atom_site_fract_z
_atom_site_occupancy
Li1 Li 0.000 0.000 0.000 1
Li2 Li 0.067 0.067 0.657 1
Li3 Li 0.313 0.313 0.699 1
Li4 Li 0.392 0.392 0.289 1
Li5 Li 0.670 0.670 0.319 1
Ir1 Ir 0.729 0.729 0.978 1

***

(5)
# Ba6Bi2N, relaxed, DFT PBE
# raw formation energy: -473 meV per atom
# N(E_F): 0.8414 states/eV/atom
data_Ba6Bi2N
_chemical_formula_sum 'Ba6 Bi2 N1'
_space_group_name_H-M_alt 'P 1'
_space_group_IT_number 1
_space_group_name_Hall 'P 1'
_cell_length_a 4.493
_cell_length_b 9.823
_cell_length_c 9.823
_cell_angle_alpha 117.24
_cell_angle_beta 90.00
_cell_angle_gamma 90.00
loop_
_atom_site_label
_atom_site_type_symbol
_atom_site_fract_x
_atom_site_fract_y
_atom_site_fract_z
_atom_site_occupancy
Ba1 Ba 0.000 0.000 0.000 1
Ba2 Ba 0.000 0.491 0.694 1
Ba3 Ba 0.000 0.694 0.491 1
Ba4 Ba 0.500 0.147 0.721 1
Ba5 Ba 0.500 0.298 0.298 1
Ba6 Ba 0.500 0.721 0.147 1
Bi1 Bi 0.000 0.042 0.395 1
Bi2 Bi 0.000 0.395 0.042 1
N1 N 0.500 0.540 0.540 1

***

(6)
# CdNi4Se, relaxed, DFT PBE
# raw formation energy: 208 meV per atom
# N(E_F): 0.9109 states/eV/atom
data_CdNi4Se
_chemical_formula_sum 'Cd1 Ni4 Se1'
_space_group_name_H-M_alt 'P 1'
_space_group_IT_number 1
_space_group_name_Hall 'P 1'
_cell_length_a 4.885
_cell_length_b 4.885
_cell_length_c 4.885
_cell_angle_alpha 60.00
_cell_angle_beta 60.00
_cell_angle_gamma 60.00
loop_
_atom_site_label
_atom_site_type_symbol
_atom_site_fract_x
_atom_site_fract_y
_atom_site_fract_z
_atom_site_occupancy
Cd1 Cd 0.000 0.000 0.000 1
Ni1 Ni 0.375 0.375 0.375 1
Ni2 Ni 0.375 0.375 0.874 1
Ni3 Ni 0.375 0.874 0.375 1
Ni4 Ni 0.874 0.375 0.375 1
Se1 Se 0.750 0.750 0.750 1

***

Quick rundown of raw total energy, same order as above: -8.432; -5.322; -5.288; -3.122; -3.542; -4.379 eV per atom